This record from Alexandria via LeMat-Bulk describes Ti7Be2Co2 after structural relaxation. The functional is PBE.

Values from the calculation:
DFT total energy: -6.839 eV/atom
theoretical density: 4560 kg/m³
D(E_F): 27.46 states/eV per cell

a b c (Å): 6.380 9.046 5.944
angles (deg): 90.00 90.00 90.00
Space group Cmmm (No. 65)
One atom of each set of equivalent atoms:
Ti 0.000 0.000 0.000
Ti 0.000 0.500 0.269
Ti 0.250 0.250 0.273
Be 0.164 0.000 0.500
Co 0.000 0.288 0.000

***

This record from Alexandria via LeMat-Bulk describes Ti2Be5Co after structural relaxation. The functional is PBE.

Values from the calculation:
DFT total energy: -4.972 eV/atom
theoretical density: 3513 kg/m³
D(E_F): 5.20 states/eV per cell

a b c (Å): 4.982 4.982 3.804
angles (deg): 90.00 90.00 90.00
Space group P4/mmm (No. 123)
One atom of each set of equivalent atoms:
Ti 0.000 0.500 0.000
Be 0.000 0.000 0.000
Be 0.289 0.289 0.500
Co 0.000 0.000 0.500

***

This record from Alexandria via LeMat-Bulk describes TiBe2Co2 after structural relaxation. The functional is PBE.

Values from the calculation:
DFT total energy: -6.095 eV/atom
theoretical density: 5570 kg/m³
D(E_F): 12.38 states/eV per cell

a b c (Å): 3.356 3.356 19.459
angles (deg): 90.00 90.00 90.00
Space group I4/mmm (No. 139)
One atom of each set of equivalent atoms:
Ti 0.000 0.000 0.126
Be 0.000 0.000 0.321
Be 0.000 0.500 0.000
Co 0.000 0.000 0.431
Co 0.000 0.500 0.250

***

This record from Alexandria via LeMat-Bulk describes TiBe3Co after structural relaxation. The functional is PBE.

Values from the calculation:
DFT total energy: -3.351 eV/atom
theoretical density: 2833 kg/m³
D(E_F): 9.16 states/eV per cell

a b c (Å): 4.281 4.281 4.281
angles (deg): 90.00 90.00 90.00
Space group Pm-3m (No. 221)
One atom of each set of equivalent atoms:
Ti 0.000 0.000 0.000
Be 0.000 0.000 0.500
Co 0.500 0.500 0.500

***

This record from Alexandria via LeMat-Bulk describes Ti2Be2Co after structural relaxation. The functional is PBE.

Values from the calculation:
DFT total energy: -6.275 eV/atom
theoretical density: 4792 kg/m³
D(E_F): 8.23 states/eV per cell

a b c (Å): 6.030 6.030 3.292
angles (deg): 90.00 90.00 90.00
Space group P4/mbm (No. 127)
One atom of each set of equivalent atoms:
Ti 0.176 0.324 0.000
Be 0.124 0.624 0.500
Co 0.000 0.000 0.500

***

This record from Alexandria via LeMat-Bulk describes Ti4BeCo after structural relaxation. The functional is PBE.

Values from the calculation:
DFT total energy: -6.932 eV/atom
theoretical density: 4478 kg/m³
D(E_F): 32.61 states/eV per cell

a b c (Å): 4.421 16.755 5.195
angles (deg): 90.00 90.00 90.00
Space group Cmc2_1 (No. 36)
One atom of each set of equivalent atoms:
Ti 0.000 0.058 0.000
Ti 0.000 0.200 0.300
Ti 0.000 0.208 0.812
Ti 0.000 0.384 0.075
Be 0.000 0.343 0.557
Co 0.000 0.076 0.496

***

This record from Alexandria via LeMat-Bulk describes Ti6BeCo12 after structural relaxation. The functional is PBE.

Values from the calculation:
DFT total energy: -7.333 eV/atom
theoretical density: 7140 kg/m³
D(E_F): 68.72 states/eV per cell

a b c (Å): 9.2621 9.2621 9.4230
angles (deg): 90.00 90.00 120.00
Space group R-3 (No. 148, hexagonal axes)
One atom of each set of equivalent atoms:
Ti 0.0184 0.4379 0.2427
Be 0.0000 0.0000 0.5000
Co 0.0614 0.1843 0.3256
Co 0.0666 0.8879 0.8887

***

This record from Alexandria via LeMat-Bulk describes Ti3BeCo2 after structural relaxation. The functional is PBE.

Values from the calculation:
DFT total energy: -7.247 eV/atom
theoretical density: 5788 kg/m³
D(E_F): 4.83 states/eV per cell

a b c (Å): 3.002 3.002 8.611
angles (deg): 90.00 90.00 90.00
Space group P4/mmm (No. 123)
One atom of each set of equivalent atoms:
Ti 0.000 0.000 0.000
Ti 0.000 0.000 0.335
Be 0.500 0.500 0.500
Co 0.500 0.500 0.170

***

This record from Alexandria via LeMat-Bulk describes TiBe8Co3 after structural relaxation. The functional is PBE.

Values from the calculation:
DFT total energy: -5.223 eV/atom
theoretical density: 4645 kg/m³
D(E_F): 5.87 states/eV per cell

a b c (Å): 4.2171 4.2171 6.8881
angles (deg): 90.00 90.00 120.00
Space group P3m1 (No. 156)
One atom of each set of equivalent atoms:
Ti 0.0000 0.0000 0.0000
Be 0.1643 0.3287 0.6770
Be 0.3333 0.6667 0.4398
Be 0.3333 0.6667 0.9339
Be 0.5038 0.0075 0.2021
Co 0.0000 0.0000 0.3653
Co 0.6667 0.3333 0.4989
Co 0.6667 0.3333 0.8844

***

This record from Alexandria via LeMat-Bulk describes TiBe2Co2 after structural relaxation. The functional is PBE.

Values from the calculation:
DFT total energy: -6.228 eV/atom
theoretical density: 5936 kg/m³
D(E_F): 10.20 states/eV per cell

a b c (Å): 6.288 6.288 2.600
angles (deg): 90.00 90.00 90.00
Space group P4/mbm (No. 127)
One atom of each set of equivalent atoms:
Ti 0.000 0.000 0.000
Be 0.118 0.382 0.000
Co 0.175 0.675 0.500

***

This record from Alexandria via LeMat-Bulk describes Ti3Be2Co5 after structural relaxation. The functional is PBE.

Values from the calculation:
DFT total energy: -7.077 eV/atom
theoretical density: 6678 kg/m³
D(E_F): 11.70 states/eV per cell

a b c (Å): 8.594 8.594 3.072
angles (deg): 90.00 90.00 90.00
Space group P4/mbm (No. 127)
One atom of each set of equivalent atoms:
Ti 0.000 0.000 0.000
Ti 0.174 0.326 0.000
Be 0.120 0.620 0.000
Co 0.000 0.500 0.500
Co 0.071 0.787 0.500

***

This record from Alexandria via LeMat-Bulk describes TiBe3Co after structural relaxation. The functional is PBE.

Values from the calculation:
DFT total energy: -5.087 eV/atom
theoretical density: 3873 kg/m³
D(E_F): 3.15 states/eV per cell

a b c (Å): 3.857 3.857 3.857
angles (deg): 90.00 90.00 90.00
Space group Pm-3m (No. 221)
One atom of each set of equivalent atoms:
Ti 0.000 0.000 0.000
Be 0.000 0.500 0.500
Co 0.500 0.500 0.500

***

This record from Alexandria via LeMat-Bulk describes Ti2BeCo3 after structural relaxation. The functional is PBE.

Values from the calculation:
DFT total energy: -7.204 eV/atom
theoretical density: 6663 kg/m³
D(E_F): 8.23 states/eV per cell

a b c (Å): 4.7988 4.7988 7.0369
angles (deg): 90.00 90.00 120.00
Space group P6_3/mmc (No. 194)
One atom of each set of equivalent atoms:
Ti 0.3333 0.6667 0.0559
Be 0.0000 0.0000 0.0000
Co 0.1666 0.3332 0.7500

***

This record from Alexandria via LeMat-Bulk describes Ti2Be15Co2 after structural relaxation. The functional is PBE.

Values from the calculation:
DFT total energy: -4.760 eV/atom
theoretical density: 3366 kg/m³
D(E_F): 24.43 states/eV per cell

a b c (Å): 7.4414 7.4414 10.7631
angles (deg): 90.00 90.00 120.00
Space group R-3m (No. 166, hexagonal axes)
One atom of each set of equivalent atoms:
Ti 0.0000 0.0000 0.1627
Be 0.0000 0.2886 0.5000
Be 0.0000 0.5000 0.0000
Be 0.0013 0.5007 0.6553
Co 0.0000 0.0000 0.3945

***

This record from Alexandria via LeMat-Bulk describes Ti3BeCo after structural relaxation. The functional is PBE.

Values from the calculation:
DFT total energy: -6.392 eV/atom
theoretical density: 4001 kg/m³
D(E_F): 9.41 states/eV per cell

a b c (Å): 4.445 4.445 4.445
angles (deg): 90.00 90.00 90.00
Space group Pm-3m (No. 221)
One atom of each set of equivalent atoms:
Ti 0.000 0.000 0.500
Be 0.500 0.500 0.500
Co 0.000 0.000 0.000

***

This record from Alexandria via LeMat-Bulk describes TiBe4Co5 after structural relaxation. The functional is PBE.

Values from the calculation:
DFT total energy: -6.132 eV/atom
theoretical density: 6513 kg/m³
D(E_F): 8.40 states/eV per cell

a b c (Å): 2.708 2.708 13.166
angles (deg): 90.00 90.00 90.00
Space group P4/mmm (No. 123)
One atom of each set of equivalent atoms:
Ti 0.000 0.000 0.000
Be 0.000 0.000 0.217
Be 0.000 0.000 0.404
Co 0.500 0.500 0.118
Co 0.500 0.500 0.310
Co 0.500 0.500 0.500

***

This record from Alexandria via LeMat-Bulk describes TiBe2Co2 after structural relaxation. The functional is PBE.

Values from the calculation:
DFT total energy: -6.166 eV/atom
theoretical density: 5854 kg/m³
D(E_F): 5.11 states/eV per cell

a b c (Å): 6.349 6.349 2.586
angles (deg): 90.00 90.00 90.00
Space group P4/mbm (No. 127)
One atom of each set of equivalent atoms:
Ti 0.000 0.000 0.000
Be 0.141 0.359 0.500
Co 0.151 0.651 0.000

***

This record from Alexandria via LeMat-Bulk describes Ti3BeCo after structural relaxation. The functional is PBE.

Values from the calculation:
DFT total energy: -6.275 eV/atom
theoretical density: 4473 kg/m³
D(E_F): 13.10 states/eV per cell

a b c (Å): 4.282 4.282 4.282
angles (deg): 90.00 90.00 90.00
Space group Pm-3m (No. 221)
One atom of each set of equivalent atoms:
Ti 0.000 0.000 0.500
Be 0.000 0.000 0.000
Co 0.500 0.500 0.500

***

This record from Alexandria via LeMat-Bulk describes Ti2Be3Co after structural relaxation. The functional is PBE.

Values from the calculation:
DFT total energy: -5.956 eV/atom
theoretical density: 4486 kg/m³
D(E_F): 17.49 states/eV per cell

a b c (Å): 4.5618 4.5618 11.1941
angles (deg): 90.00 90.00 120.00
Space group R-3m (No. 166, hexagonal axes)
One atom of each set of equivalent atoms:
Ti 0.0000 0.0000 0.1256
Be 0.0000 0.5000 0.0000
Co 0.0000 0.0000 0.5000

***

This record from Alexandria via LeMat-Bulk describes Ti2BeCo6 after structural relaxation. The functional is PBE.

Values from the calculation:
DFT total energy: -6.972 eV/atom
theoretical density: 7251 kg/m³
D(E_F): 20.75 states/eV per cell

a b c (Å): 11.498 7.389 2.530
angles (deg): 90.00 102.42 90.00
Space group C2/m (No. 12)
One atom of each set of equivalent atoms:
Ti 0.133 0.000 0.012
Be 0.000 0.500 0.000
Co 0.000 0.239 0.500
Co 0.176 0.341 0.222

***

This record from Alexandria via LeMat-Bulk describes Ti4BeCo after structural relaxation. The functional is PBE.

Values from the calculation:
DFT total energy: -7.209 eV/atom
theoretical density: 4977 kg/m³
D(E_F): 18.60 states/eV per cell

a b c (Å): 6.043 6.043 4.740
angles (deg): 90.00 90.00 90.00
Space group I422 (No. 97)
One atom of each set of equivalent atoms:
Ti 0.161 0.339 0.250
Be 0.000 0.000 0.000
Co 0.000 0.000 0.500

***

This record from Alexandria via LeMat-Bulk describes Ti2Be2VCo5 after structural relaxation. The functional is PBE.

Values from the calculation:
DFT total energy: -7.149 eV/atom
theoretical density: 6877 kg/m³
D(E_F): 9.71 states/eV per cell

a b c (Å): 8.463 8.463 3.097
angles (deg): 90.00 90.00 90.00
Space group P4/mbm (No. 127)
One atom of each set of equivalent atoms:
Ti 0.174 0.326 0.000
Be 0.121 0.621 0.000
V 0.000 0.000 0.000
Co 0.000 0.500 0.500
Co 0.069 0.791 0.500